1.
LaHgPdPb, optimized geometry, DFT PBE; D(E_F) = 2.8 states/eV/cell; crystal system = cubic
1.0
-3.712 0.080 3.642
0.747 -2.446 4.528
0.693 2.752 4.359
Pd La Pb Hg
1 1 1 1
Direct
0.000 0.000 0.000
0.250 0.250 0.250
0.750 0.750 0.750
0.500 0.500 0.500

=====

2.
ScBP2C, optimized geometry, DFT PBE; D(E_F) = 0.2 states/eV/cell; distance to the lowest polymorph of the same formula = 15 meV per atom; crystal system = monoclinic
1.0
5.969 0.000 0.001
0.000 3.128 0.000
-5.659 0.000 6.845
P C B Sc
4 2 2 2
Direct
0.828 0.000 0.050
0.525 0.500 0.727
0.525 0.000 0.227
0.828 0.500 0.550
0.956 0.500 0.215
0.956 0.000 0.715
0.790 0.000 0.808
0.790 0.500 0.308
0.371 0.000 0.442
0.371 0.500 0.942

=====

3.
CaCr2Mo, optimized geometry, DFT PBE; D(E_F) = 8.7 states/eV/cell; distance to the lowest polymorph of the same formula = 420 meV per atom; crystal system = cubic
1.0
0.000 3.167 3.167
3.167 0.000 3.167
3.167 3.167 0.000
Ca Cr Mo
1 2 1
Direct
0.000 0.000 0.000
0.750 0.750 0.750
0.250 0.250 0.250
0.500 0.500 0.500

=====

4.
K2Sb2I, optimized geometry, DFT PBE; D(E_F) = 4.5 states/eV/cell; distance to the lowest polymorph of the same formula = 148 meV per atom; crystal system = tetragonal
1.0
6.759 0.000 0.000
0.000 6.759 0.000
3.379 3.379 5.215
Sb K I
2 2 1
Direct
0.376 0.376 0.249
0.624 0.624 0.751
0.750 0.250 0.500
0.250 0.750 0.500
0.000 0.000 0.000

=====

5.
DyInTe3, optimized geometry, DFT PBE; distance to the lowest polymorph of the same formula = 0 meV per atom; crystal system = orthorhombic
1.0
-1.419 3.561 2.249
-2.294 -4.345 5.432
12.400 3.157 2.823
Dy Te In
2 6 2
Direct
0.750 0.406 0.347
0.250 0.059 0.653
0.250 0.415 0.849
0.250 0.147 0.228
0.750 0.918 0.772
0.750 0.239 0.542
0.750 0.566 0.151
0.250 0.697 0.458
0.250 0.783 0.256
0.750 0.527 0.744

=====

6.
Tc2HAu, optimized geometry, DFT PBE; D(E_F) = 4.0 states/eV/cell; distance to the lowest polymorph of the same formula = 333 meV per atom; crystal system = cubic
1.0
-1.933 0.164 3.813
-3.891 1.743 0.353
-3.393 -2.484 0.787
H Tc Au
1 2 1
Direct
0.000 0.000 0.000
0.750 0.750 0.750
0.250 0.250 0.250
0.500 0.500 0.500

=====

7.
Ca2TiAl2, optimized geometry, DFT PBE; D(E_F) = 6.6 states/eV/cell; distance to the lowest polymorph of the same formula = 334 meV per atom; crystal system = tetragonal
1.0
3.703 0.000 0.000
0.000 3.703 0.000
1.851 1.851 10.143
Ca Al Ti
2 2 1
Direct
0.387 0.387 0.226
0.613 0.613 0.774
0.250 0.750 0.500
0.750 0.250 0.500
0.000 0.000 0.000

=====

8.
Tl2CuAuO, optimized geometry, DFT PBE; D(E_F) = 1.3 states/eV/cell; crystal system = tetragonal
1.0
5.489 0.000 0.000
0.000 5.489 0.000
0.000 0.000 3.624
Tl O Cu Au
2 1 1 1
Direct
0.000 0.500 0.000
0.500 0.000 0.000
0.000 0.000 0.000
0.000 0.000 0.500
0.500 0.500 0.500

=====

9.
HgClF4, optimized geometry, DFT PBE; D(E_F) = 0.6 states/eV/cell; crystal system = monoclinic
1.0
-6.026 -0.306 1.647
-3.675 -1.361 7.097
-1.825 6.194 4.874
F Cl Hg
8 2 2
Direct
0.190 0.564 0.865
0.690 0.929 0.135
0.188 0.865 0.372
0.812 0.135 0.628
0.688 0.737 0.628
0.310 0.071 0.865
0.312 0.263 0.372
0.810 0.436 0.135
0.250 0.319 0.862
0.750 0.681 0.138
0.750 0.061 0.378
0.250 0.939 0.622

=====

10.
Pu5SbPd2, optimized geometry, DFT PBE; D(E_F) = 75.4 states/eV/cell; crystal system = tetragonal
1.0
7.094 0.000 -3.349
-1.581 6.916 -3.349
-0.292 -0.366 8.571
Pd Sb Pu
4 2 10
Direct
0.129 0.371 0.000
0.629 0.129 0.000
0.871 0.629 0.000
0.371 0.871 0.000
0.250 0.250 0.500
0.750 0.750 0.500
0.810 0.987 0.297
0.500 0.500 0.000
0.987 0.487 0.297
0.000 0.000 0.000
0.690 0.190 0.703
0.513 0.690 0.703
0.487 0.310 0.297
0.190 0.013 0.703
0.013 0.513 0.703
0.310 0.810 0.297

=====

11.
Te2PtW, optimized geometry, DFT PBE; D(E_F) = 2.7 states/eV/cell; distance to the lowest polymorph of the same formula = 688 meV per atom; crystal system = tetragonal
1.0
5.622 -0.016 0.000
2.667 4.949 0.000
-4.145 -2.467 2.889
Te W Pt
2 1 1
Direct
0.250 0.750 0.500
0.000 0.000 0.000
0.500 0.500 0.000
0.750 0.250 0.500

=====

12.
TaTe2P, optimized geometry, DFT PBE; D(E_F) = 2.3 states/eV/cell; crystal system = monoclinic
1.0
-2.854 1.767 2.056
0.866 -2.945 3.734
4.285 2.797 3.546
Te Ta P
2 1 1
Direct
0.000 0.328 0.835
0.000 0.672 0.165
0.500 0.500 0.500
0.500 0.000 0.500

=====

13.
Sm3PS2, optimized geometry, DFT PBE; D(E_F) = 5.2 states/eV/cell; distance to the lowest polymorph of the same formula = 5 meV per atom; crystal system = monoclinic
1.0
0.119 -4.463 -5.416
-1.031 -4.537 5.235
-5.208 4.205 -2.060
Sm S P
6 4 2
Direct
0.001 0.824 0.663
0.500 0.000 0.500
0.999 0.176 0.337
0.000 0.500 0.000
0.501 0.663 0.824
0.499 0.337 0.176
0.250 0.917 0.083
0.750 0.083 0.917
0.750 0.750 0.250
0.250 0.250 0.750
0.750 0.416 0.584
0.250 0.584 0.416

=====

14.
LaNi2Os, optimized geometry, DFT PBE; D(E_F) = 7.0 states/eV/cell; distance to the lowest polymorph of the same formula = 422 meV per atom; crystal system = orthorhombic
1.0
-3.890 -2.792 0.416
1.033 -3.586 -3.029
2.349 1.751 3.811
Os Ni La
1 2 1
Direct
0.250 0.750 0.500
0.474 0.474 0.000
0.026 0.026 0.000
0.750 0.250 0.500

=====

15.
MnAl2Co, optimized geometry, DFT PBE; D(E_F) = 4.2 states/eV/cell; crystal system = trigonal
1.0
8.235 0.000 0.000
7.782 2.692 0.000
7.782 1.308 2.353
Co Al Mn
1 2 1
Direct
0.250 0.250 0.250
0.997 0.997 0.997
0.503 0.503 0.503
0.750 0.750 0.750

=====

16.
CaHgPd3, optimized geometry, DFT PBE; D(E_F) = 5.9 states/eV/cell; distance to the lowest polymorph of the same formula = 0 meV per atom; crystal system = orthorhombic
1.0
-3.131 3.408 2.947
-5.609 -7.306 2.490
6.562 1.311 0.349
Pd Hg Ca
6 2 2
Direct
0.186 0.686 0.872
0.814 0.314 0.128
0.250 0.958 0.500
0.314 0.314 0.128
0.750 0.042 0.500
0.686 0.686 0.872
0.500 0.000 0.000
0.000 0.500 0.000
0.250 0.253 0.500
0.750 0.747 0.500

=====

17.
KLiTlSe, optimized geometry, DFT PBE; D(E_F) = 4.5 states/eV/cell; crystal system = tetragonal
1.0
-4.395 -0.745 0.013
0.537 -3.111 3.147
-1.410 8.471 8.616
Li K Tl Se
2 2 2 2
Direct
0.750 0.250 0.000
0.250 0.750 0.000
0.750 0.750 0.207
0.250 0.250 0.793
0.750 0.250 0.500
0.250 0.750 0.500
0.750 0.750 0.884
0.250 0.250 0.116

=====

18.
MoOsBr2, optimized geometry, DFT PBE; D(E_F) = 3.3 states/eV/cell; distance to the lowest polymorph of the same formula = 734 meV per atom; crystal system = orthorhombic
1.0
7.644 0.011 0.007
5.904 4.856 -0.007
-6.493 -3.214 2.436
Os Br Mo
1 2 1
Direct
0.300 0.800 0.500
0.009 0.009 0.000
0.748 0.248 0.500
0.443 0.443 0.000

=====

19.
TlOsRu, optimized geometry, DFT PBE; D(E_F) = 2.6 states/eV/cell; distance to the lowest polymorph of the same formula = 0 meV per atom; crystal system = tetragonal
1.0
-3.804 4.645 2.277
-3.122 1.938 5.266
5.110 -2.230 -3.186
Ru Os Tl
1 1 1
Direct
0.350 0.350 0.000
0.982 0.982 0.000
0.668 0.668 0.000

=====

20.
MnFe2NiH, optimized geometry, DFT PBE; D(E_F) = 6.9 states/eV/cell; distance to the lowest polymorph of the same formula = 24 meV per atom; crystal system = tetragonal
1.0
-1.297 0.694 3.264
-1.573 -3.215 0.059
2.967 -1.425 1.483
Fe H Ni Mn
2 1 1 1
Direct
0.500 0.000 0.000
0.000 0.500 0.000
0.000 0.000 0.000
0.000 0.000 0.500
0.500 0.500 0.500

=====

21.
BaAg5Cl8, optimized geometry, DFT PBE; D(E_F) = 22.1 states/eV/cell; crystal system = cubic
1.0
-1.099 0.072 8.125
-6.471 -3.807 3.295
1.060 -6.874 4.341
Ag Cl Ba
5 8 1
Direct
0.630 0.630 0.111
0.111 0.630 0.630
0.000 0.000 0.000
0.630 0.111 0.630
0.630 0.630 0.630
0.394 0.394 0.394
0.869 0.869 0.869
0.394 0.817 0.394
0.817 0.394 0.394
0.869 0.394 0.869
0.394 0.394 0.817
0.394 0.869 0.869
0.869 0.869 0.394
0.250 0.250 0.250

=====

22.
Sc2MoP, optimized geometry, DFT PBE; D(E_F) = 3.9 states/eV/cell; crystal system = trigonal
1.0
-1.834 -6.520 4.063
1.441 -6.128 4.770
-0.878 -4.395 6.503
P Sc Mo
1 2 1
Direct
0.000 0.000 0.000
0.260 0.260 0.260
0.740 0.740 0.740
0.500 0.500 0.500

=====

23.
La3TmIn4, optimized geometry, DFT PBE; D(E_F) = 4.6 states/eV/cell; crystal system = tetragonal
1.0
-0.783 3.145 2.066
-2.202 1.328 -2.856
-12.698 -7.351 6.375
La In Tm
3 4 1
Direct
0.500 0.500 0.760
0.500 0.500 0.240
0.500 0.500 0.500
0.000 0.000 0.370
0.000 0.000 0.892
0.000 0.000 0.108
0.000 0.000 0.630
0.500 0.500 0.000

=====

24.
TmPuAgOs, optimized geometry, DFT PBE; D(E_F) = 9.7 states/eV/cell; crystal system = cubic
1.0
4.923 0.000 0.000
2.462 4.264 0.000
2.462 1.421 4.020
Ag Tm Os Pu
1 1 1 1
Direct
0.750 0.750 0.750
0.500 0.500 0.500
0.250 0.250 0.250
0.000 0.000 0.000

=====

25.
Co4IrSe, optimized geometry, DFT PBE; D(E_F) = 7.4 states/eV/cell; crystal system = cubic
1.0
0.567 -2.775 3.881
-3.791 -1.107 2.736
-1.721 -4.486 0.018
Co Se Ir
4 1 1
Direct
0.874 0.375 0.375
0.375 0.874 0.375
0.375 0.375 0.874
0.375 0.375 0.375
0.000 0.000 0.000
0.750 0.750 0.750

=====

26.
Ba2HfMgS5, optimized geometry, DFT PBE; crystal system = orthorhombic
1.0
-2.096 0.350 3.429
-6.169 -3.571 -5.778
3.684 -11.986 3.474
S Mg Hf Ba
10 2 2 4
Direct
0.696 0.392 0.887
0.500 0.000 0.285
0.650 0.300 0.500
0.718 0.436 0.147
0.350 0.700 0.000
0.282 0.564 0.647
0.069 0.137 0.052
0.500 0.000 0.785
0.931 0.863 0.552
0.304 0.608 0.387
0.560 0.120 0.948
0.440 0.880 0.448
0.787 0.574 0.518
0.213 0.426 0.018
0.129 0.258 0.306
0.107 0.213 0.681
0.893 0.787 0.181
0.871 0.742 0.806

=====

| no. | energy (eV/atom) |
| --- | --- |
| 1 | -4.056 |
| 2 | -6.839 |
| 3 | -7.098 |
| 4 | -2.740 |
| 5 | -4.193 |
| 6 | -5.771 |
| 7 | -3.482 |
| 8 | -3.637 |
| 9 | -2.503 |
| 10 | -11.132 |
| 11 | -5.581 |
| 12 | -5.873 |
| 13 | -6.562 |
| 14 | -6.643 |
| 15 | -6.096 |
| 16 | -4.000 |
| 17 | -2.991 |
| 18 | -5.443 |
| 19 | -7.092 |
| 20 | -6.944 |
| 21 | -3.010 |
| 22 | -7.506 |
| 23 | -4.275 |
| 24 | -8.297 |
| 25 | -6.383 |
| 26 | -5.770 |